No. 1
! LaMnVHg2 (PBE-GGA, relaxed); values from VASP
&SYSTEM
  ibrav = 0, nat = 5, ntyp = 4
/
ATOMIC_SPECIES
La 138.91 La.upf
Mn 54.94 Mn.upf
V 50.94 V.upf
Hg 200.59 Hg.upf
ATOMIC_POSITIONS angstrom
La 0.000 0.000 0.000
Mn 2.628 2.628 0.000
V 0.000 0.000 2.565
Hg 0.000 2.628 2.565
Hg 2.628 0.000 2.565
CELL_PARAMETERS angstrom
5.255 0.000 0.000
0.000 5.255 0.000
0.000 0.000 5.130
! SG: P4/mmm (123)
! Theoretical density (g cm⁻³): 7.57
! Volume (A^3/atom): 28.338
! Energy (eV per atom): -4.0260
! Total moment (μB/cell): 7.2
! Formation energy from the elements (kJ per mole of atoms): 71.2

=====

No. 2
! RbInGe (PBE-GGA, relaxed); values from VASP
&SYSTEM
  ibrav = 0, nat = 6, ntyp = 3
/
ATOMIC_SPECIES
Rb 85.47 Rb.upf
In 114.82 In.upf
Ge 72.64 Ge.upf
ATOMIC_POSITIONS angstrom
Rb 3.141 6.492 2.896
Rb 3.141 -6.492 0.965
In 3.141 3.278 0.965
In 3.141 -3.278 2.896
Ge 3.141 0.808 2.896
Ge 3.141 -0.808 0.965
CELL_PARAMETERS angstrom
3.141 -8.142 0.000
3.141 8.142 0.000
0.000 0.000 3.861
! SG: Cmcm (63)
! Theoretical density (g cm⁻³): 4.59
! Volume (A^3/atom): 32.913
! Energy (eV per atom): -2.6544
! Total moment (μB/cell): 0.0
! Formation energy from the elements (kJ per mole of atoms): 11.6

=====

No. 3
! Ca2LaNi (PBE-GGA, relaxed); values from VASP
&SYSTEM
  ibrav = 0, nat = 8, ntyp = 3
/
ATOMIC_SPECIES
Ca 40.08 Ca.upf
La 138.91 La.upf
Ni 58.69 Ni.upf
ATOMIC_POSITIONS angstrom
Ca 0.003 0.721 1.850
Ca 0.003 4.306 1.850
Ca 1.935 5.748 4.568
Ca 1.935 9.334 4.568
La 0.006 2.514 5.246
La 1.932 7.541 1.172
Ni -0.001 7.541 3.022
Ni 1.939 2.514 3.396
CELL_PARAMETERS angstrom
3.863 0.000 0.000
0.000 10.055 0.000
-1.926 0.000 6.418
! SG: P2_1/m (11)
! Theoretical density (g cm⁻³): 3.70
! Volume (A^3/atom): 31.164
! Energy (eV per atom): -3.7982
! Total moment (μB/cell): 0.0
! Distance to the lowest polymorph of the same formula (kcal/mol of atoms): 0.00
! Formation energy from the elements (kJ per mole of atoms): -11.6

=====

No. 4
! CdIn5 (PBE-GGA, relaxed); values from VASP
&SYSTEM
  ibrav = 0, nat = 6, ntyp = 2
/
ATOMIC_SPECIES
Cd 112.41 Cd.upf
In 114.82 In.upf
ATOMIC_POSITIONS angstrom
Cd 0.000 0.000 0.000
In -1.495 2.589 2.894
In 0.000 3.453 0.000
In 2.990 0.000 2.894
In 1.495 2.589 2.894
In 2.990 1.726 0.000
CELL_PARAMETERS angstrom
5.980 0.000 0.000
-2.990 5.179 0.000
0.000 0.000 5.788
! SG: P6/mmm (191)
! Theoretical density (g cm⁻³): 6.36
! Volume (A^3/atom): 29.876
! Energy (eV per atom): -2.2715
! Total moment (μB/cell): 0.0
! Formation energy from the elements (kJ per mole of atoms): 15.7

=====

No. 5
! Pm5PrCu4 (PBE-GGA, relaxed); values from VASP
&SYSTEM
  ibrav = 0, nat = 10, ntyp = 3
/
ATOMIC_SPECIES
Pm 145.00 Pm.upf
Pr 140.91 Pr.upf
Cu 63.55 Cu.upf
ATOMIC_POSITIONS angstrom
Pm 0.000 0.000 0.000
Pm 0.000 0.000 3.585
Pm 0.000 0.000 7.106
Pm 0.000 0.000 12.582
Pm 0.000 0.000 16.103
Pr 1.788 1.788 9.844
Cu 1.788 1.788 1.802
Cu 1.788 1.788 5.347
Cu 1.788 1.788 14.340
Cu 1.788 1.788 17.885
CELL_PARAMETERS angstrom
3.576 0.000 0.000
0.000 3.576 0.000
0.000 0.000 19.687
! SG: P4/mmm (123)
! Theoretical density (g cm⁻³): 7.39
! Volume (A^3/atom): 25.173
! Energy (eV per atom): -4.6212
! Total moment (μB/cell): 0.0
! Formation energy from the elements (kJ per mole of atoms): -12.5

=====

> What is the formula in the first record?

LaMnVHg2

=====

> volume of number 4 (CdIn5)?

29.876 A^3/atom